No. 1
The following is a PBE calculation of Y2SiNi2 after structural relaxation, from Alexandria via LeMat-Bulk.

Lattice parameters (Å, degrees): 5.1256 5.1256 5.1256 117.41 117.41 94.54
Closest atoms and distances in Å follow each position.
Element x y z (fractional)
Y 0.2500 0.7500 0.5000  4 Ni 2.73
Y 0.7500 0.2500 0.5000  4 Ni 2.73
Si 0.0000 0.0000 0.0000  2 Ni 2.34
Ni 0.3358 0.3358 0.0000  1 Ni 2.28, 1 Si 2.34
Ni 0.6642 0.6642 0.0000  1 Ni 2.28, 1 Si 2.34

## Properties
- raw formation energy (kJ/mol of formula units) = -167
- electronic total energy (eV/atom) = -6.33
- size of the total moment (Bohr magnetons per cell) = 0.0


No. 2
The following is a PBE calculation of InAu after structural relaxation, from Alexandria via LeMat-Bulk.

Lattice parameters (Å, degrees): 4.4681 4.4681 4.4681 60.00 60.00 60.00
Closest atoms and distances in Å follow each position.
Element x y z (fractional)
In 0.0000 0.0000 0.0000  4 Au 2.74
Au 0.2500 0.2500 0.2500  4 In 2.74

## Properties
- DFT formation energy (eV per atom) = 0.05
- electronic total energy (eV/atom) = -2.96
- size of the total moment (Bohr magnetons per cell) = 0.0


No. 3
The following is a PBE calculation of Pm2PrSm4 after structural relaxation, from Alexandria via LeMat-Bulk.

Lattice parameters (Å, degrees): 6.1974 6.7119 11.8706 90.00 104.43 90.00
Closest atoms and distances in Å follow each position.
Element x y z (fractional)
Pm 0.0978 0.2500 0.4970  2 Pr 3.43-3.59, 6 Sm 3.48-3.76, 2 Pm 3.57
Pm 0.3498 0.7500 0.0546  9 Sm 3.39-3.61
Pm 0.6502 0.2500 0.9454  9 Sm 3.39-3.61
Pm 0.9022 0.7500 0.5030  2 Pr 3.43-3.59, 6 Sm 3.48-3.76, 2 Pm 3.57
Pr 0.4846 0.7500 0.6465  2 Pm 3.43-3.59, 6 Sm 3.44-3.50
Pr 0.5154 0.2500 0.3535  2 Pm 3.43-3.59, 6 Sm 3.44-3.50
Sm 0.1462 0.0052 0.7872  5 Sm 3.29-3.63, 1 Pr 3.44, 2 Pm 3.55-3.61
Sm 0.1462 0.4948 0.7872  5 Sm 3.29-3.63, 1 Pr 3.44, 2 Pm 3.55-3.61
Sm 0.2100 0.2500 0.0665  4 Pm 3.39-3.48, 1 Pr 3.46, 4 Sm 3.57-3.63
Sm 0.3494 0.7500 0.3427  3 Pm 3.42-3.73, 2 Sm 3.49, 3 Pr 3.49-3.50
Sm 0.6506 0.2500 0.6573  3 Pm 3.42-3.73, 2 Sm 3.49, 3 Pr 3.49-3.50
Sm 0.7900 0.7500 0.9335  4 Pm 3.39-3.48, 1 Pr 3.46, 4 Sm 3.57-3.63
Sm 0.8538 0.5052 0.2128  5 Sm 3.29-3.63, 1 Pr 3.44, 2 Pm 3.55-3.61
Sm 0.8538 0.9948 0.2128  5 Sm 3.29-3.63, 1 Pr 3.44, 2 Pm 3.55-3.61

## Properties
- DFT formation energy (eV per atom) = 0.11
- polymorph energy (0 for the lowest one) (eV per atom) = 0.017
- electronic total energy (eV/atom) = -4.62
- size of the total moment (Bohr magnetons per cell) = 0.0


No. 4
The following is a PBE calculation of Pr2NdUS8 after structural relaxation, from Alexandria via LeMat-Bulk.

Lattice parameters (Å, degrees): 4.7252 9.2195 6.7591 90.00 90.10 90.00
Closest atoms and distances in Å follow each position.
Element x y z (fractional)
Pr 0.0000 0.2489 0.0000  8 S 2.85-2.99
Pr 0.0000 0.7511 0.0000  8 S 2.85-2.99
Nd 0.5000 0.0000 0.5000  8 S 2.90-3.00
U 0.5000 0.5000 0.5000  8 S 2.65-2.79
S 0.9995 0.0000 0.2510  2 Pr 2.85, 2 Nd 2.90
S 0.0005 0.0000 0.7490  2 Pr 2.85, 2 Nd 2.90
S 0.0001 0.5000 0.2806  2 U 2.79, 1 S 2.97, 2 Pr 2.99
S 0.9999 0.5000 0.7194  2 U 2.79, 1 S 2.97, 2 Pr 2.99
S 0.5004 0.2731 0.2592  1 U 2.65, 2 Pr 2.95
S 0.4996 0.2731 0.7408  1 U 2.65, 2 Pr 2.95
S 0.5004 0.7269 0.2592  1 U 2.65, 2 Pr 2.95
S 0.4996 0.7269 0.7408  1 U 2.65, 2 Pr 2.95

## Properties
- raw formation energy (kJ/mol of formula units) = -1784
- electronic total energy (eV/atom) = -6.43
- size of the total moment (Bohr magnetons per cell) = 0.0


Among the records above, which one has the lowest electronic total energy? Pr2NdUS8